one | ! Ac2Pm4Sm (PBE-GGA, optimized geometry); values from VASP
&SYSTEM
  ibrav = 0, nat = 7, ntyp = 3
/
ATOMIC_SPECIES
Ac 227.00 Ac.upf
Pm 145.00 Pm.upf
Sm 150.36 Sm.upf
ATOMIC_POSITIONS crystal
Ac 0.212 0.212 0.147
Ac 0.788 0.788 0.853
Pm 0.073 0.073 0.705
Pm 0.360 0.360 0.572
Pm 0.640 0.640 0.428
Pm 0.927 0.927 0.295
Sm 0.500 0.500 0.000
CELL_PARAMETERS angstrom
5.882 -2.666 0.000
5.882 2.666 0.000
-1.228 0.000 8.305
! - calculated volume (Å³/cell) = 260
! - N(E_F) (states/eV/cell) = 11.85
! - size of the total moment (μB/cell) = 0.0

---

two | ! Ac2Pm4Sm (PBE-GGA, optimized geometry); values from VASP
&SYSTEM
  ibrav = 0, nat = 7, ntyp = 3
/
ATOMIC_SPECIES
Ac 227.00 Ac.upf
Pm 145.00 Pm.upf
Sm 150.36 Sm.upf
ATOMIC_POSITIONS crystal
Ac 0.128 0.128 0.000
Ac 0.872 0.872 0.000
Pm 0.000 0.500 0.500
Pm 0.327 0.327 0.000
Pm 0.500 0.000 0.500
Pm 0.673 0.673 0.000
Sm 0.500 0.500 0.000
CELL_PARAMETERS angstrom
-2.866 2.866 9.127
2.866 -2.866 9.127
2.866 2.866 -9.127
! - calculated volume (Å³/cell) = 300
! - N(E_F) (states/eV/cell) = 11.23
! - size of the total moment (μB/cell) = 0.4

---

We find one to be the most stable, with the next structure 50.9 kJ/mol of atoms higher.

---

one | ! AcPmSm3 (PBE-GGA, optimized geometry); values from VASP
&SYSTEM
  ibrav = 0, nat = 20, ntyp = 3
/
ATOMIC_SPECIES
Ac 227.00 Ac.upf
Pm 145.00 Pm.upf
Sm 150.36 Sm.upf
ATOMIC_POSITIONS crystal
Ac 0.124 0.250 0.150
Ac 0.376 0.750 0.650
Ac 0.624 0.250 0.350
Ac 0.876 0.750 0.850
Pm 0.121 0.250 0.548
Pm 0.379 0.750 0.048
Pm 0.621 0.250 0.952
Pm 0.879 0.750 0.452
Sm 0.123 0.250 0.351
Sm 0.126 0.250 0.750
Sm 0.130 0.250 0.950
Sm 0.370 0.750 0.450
Sm 0.374 0.750 0.250
Sm 0.377 0.750 0.851
Sm 0.623 0.250 0.149
Sm 0.626 0.250 0.750
Sm 0.630 0.250 0.550
Sm 0.870 0.750 0.050
Sm 0.874 0.750 0.250
Sm 0.877 0.750 0.649
CELL_PARAMETERS angstrom
10.423 0.000 0.000
0.000 3.723 0.000
0.000 0.000 18.497
! - calculated volume (Å³/cell) = 718
! - N(E_F) (states/eV/cell) = 27.90
! - size of the total moment (μB/cell) = 0.0

---

two | ! AcPmSm3 (PBE-GGA, optimized geometry); values from VASP
&SYSTEM
  ibrav = 0, nat = 10, ntyp = 3
/
ATOMIC_SPECIES
Ac 227.00 Ac.upf
Pm 145.00 Pm.upf
Sm 150.36 Sm.upf
ATOMIC_POSITIONS crystal
Ac 0.215 0.215 0.309
Ac 0.785 0.785 0.691
Pm 0.016 0.016 0.716
Pm 0.984 0.984 0.284
Sm 0.180 0.180 0.881
Sm 0.387 0.387 0.483
Sm 0.420 0.420 0.925
Sm 0.580 0.580 0.075
Sm 0.613 0.613 0.517
Sm 0.820 0.820 0.119
CELL_PARAMETERS angstrom
11.361 -1.876 0.000
11.361 1.876 0.000
-2.346 0.000 8.515
! - calculated volume (Å³/cell) = 363
! - N(E_F) (states/eV/cell) = 17.41
! - size of the total moment (μB/cell) = 0.0

---

We find one to be the most stable, with the next structure 1.5 kJ/mol of atoms higher.

---

one | ! Ac2Pm4Sm5 (PBE-GGA, optimized geometry); values from VASP
&SYSTEM
  ibrav = 0, nat = 11, ntyp = 3
/
ATOMIC_SPECIES
Ac 227.00 Ac.upf
Pm 145.00 Pm.upf
Sm 150.36 Sm.upf
ATOMIC_POSITIONS crystal
Ac 0.145 0.226 0.453
Ac 0.855 0.774 0.547
Pm 0.043 0.406 0.824
Pm 0.314 0.859 0.735
Pm 0.686 0.141 0.265
Pm 0.957 0.594 0.176
Sm 0.230 0.044 0.088
Sm 0.413 0.680 0.357
Sm 0.500 0.500 0.000
Sm 0.587 0.320 0.643
Sm 0.770 0.956 0.912
CELL_PARAMETERS angstrom
6.405 0.000 0.000
1.073 6.348 0.000
1.085 -0.160 9.719
! - calculated volume (Å³/cell) = 395
! - N(E_F) (states/eV/cell) = 18.09
! - size of the total moment (μB/cell) = 0.0

---

two | ! Ac2Pm4Sm5 (PBE-GGA, optimized geometry); values from VASP
&SYSTEM
  ibrav = 0, nat = 11, ntyp = 3
/
ATOMIC_SPECIES
Ac 227.00 Ac.upf
Pm 145.00 Pm.upf
Sm 150.36 Sm.upf
ATOMIC_POSITIONS crystal
Ac 0.067 0.067 0.242
Ac 0.933 0.933 0.758
Pm 0.262 0.262 0.031
Pm 0.389 0.389 0.626
Pm 0.611 0.611 0.374
Pm 0.738 0.738 0.969
Sm 0.079 0.608 0.333
Sm 0.392 0.921 0.667
Sm 0.500 0.500 0.000
Sm 0.608 0.079 0.333
Sm 0.921 0.392 0.667
CELL_PARAMETERS angstrom
6.499 -3.486 0.000
6.499 3.486 0.000
-6.460 0.000 8.756
! - calculated volume (Å³/cell) = 397
! - N(E_F) (states/eV/cell) = 14.18
! - size of the total moment (μB/cell) = 0.0

---

We find one to be the most stable, with the next structure 10.7 kJ/mol of atoms higher.

---

one | ! AcPm7Sm2 (PBE-GGA, optimized geometry); values from VASP
&SYSTEM
  ibrav = 0, nat = 10, ntyp = 3
/
ATOMIC_SPECIES
Ac 227.00 Ac.upf
Pm 145.00 Pm.upf
Sm 150.36 Sm.upf
ATOMIC_POSITIONS crystal
Ac 0.000 0.000 0.000
Pm 0.125 0.391 0.500
Pm 0.328 0.672 0.000
Pm 0.391 0.125 0.500
Pm 0.500 0.500 0.500
Pm 0.609 0.875 0.500
Pm 0.672 0.328 0.000
Pm 0.875 0.609 0.500
Sm 0.177 0.823 0.500
Sm 0.823 0.177 0.500
CELL_PARAMETERS angstrom
6.036 -8.643 0.000
6.036 8.643 0.000
0.000 0.000 3.590
! - calculated volume (Å³/cell) = 375
! - N(E_F) (states/eV/cell) = 16.09
! - size of the total moment (μB/cell) = 0.0

---

two | ! AcPm7Sm2 (PBE-GGA, optimized geometry); values from VASP
&SYSTEM
  ibrav = 0, nat = 10, ntyp = 3
/
ATOMIC_SPECIES
Ac 227.00 Ac.upf
Pm 145.00 Pm.upf
Sm 150.36 Sm.upf
ATOMIC_POSITIONS crystal
Ac 0.000 0.000 0.000
Pm 0.062 0.298 0.500
Pm 0.234 0.766 0.000
Pm 0.298 0.062 0.500
Pm 0.500 0.500 0.500
Pm 0.702 0.938 0.500
Pm 0.766 0.234 0.000
Pm 0.938 0.702 0.500
Sm 0.298 0.702 0.500
Sm 0.702 0.298 0.500
CELL_PARAMETERS angstrom
4.474 -8.136 0.000
4.474 8.136 0.000
0.000 0.000 5.766
! - calculated volume (Å³/cell) = 420
! - N(E_F) (states/eV/cell) = 13.69
! - size of the total moment (μB/cell) = 0.0

---

We find one to be the most stable, with the next structure 22.3 kJ/mol of atoms higher.

---

one | ! AcPmSmZn (PBE-GGA, optimized geometry); values from VASP
&SYSTEM
  ibrav = 0, nat = 4, ntyp = 4
/
ATOMIC_SPECIES
Ac 227.00 Ac.upf
Pm 145.00 Pm.upf
Sm 150.36 Sm.upf
Zn 65.41 Zn.upf
ATOMIC_POSITIONS crystal
Ac 0.000 0.000 0.000
Pm 0.250 0.250 0.250
Sm 0.750 0.750 0.750
Zn 0.500 0.500 0.500
CELL_PARAMETERS angstrom
0.000 3.964 3.964
3.964 0.000 3.964
3.964 3.964 0.000
! - calculated volume (Å³/cell) = 125
! - N(E_F) (states/eV/cell) = 5.89
! - size of the total moment (μB/cell) = 0.0

---

two | ! AcPmSmZn (PBE-GGA, optimized geometry); values from VASP
&SYSTEM
  ibrav = 0, nat = 4, ntyp = 4
/
ATOMIC_SPECIES
Ac 227.00 Ac.upf
Pm 145.00 Pm.upf
Sm 150.36 Sm.upf
Zn 65.41 Zn.upf
ATOMIC_POSITIONS crystal
Ac 0.000 0.000 0.000
Pm 0.500 0.500 0.305
Sm 0.500 0.500 0.696
Zn 0.000 0.000 0.503
CELL_PARAMETERS angstrom
3.736 0.000 0.000
0.000 3.736 0.000
0.000 0.000 9.005
! - calculated volume (Å³/cell) = 126
! - N(E_F) (states/eV/cell) = 5.13
! - size of the total moment (μB/cell) = 0.0

---

We find two to be the most stable, with the next structure 27.0 kJ/mol of atoms higher.

---

one | ! Ac2PmSn (PBE-GGA, optimized geometry); values from VASP
&SYSTEM
  ibrav = 0, nat = 4, ntyp = 3
/
ATOMIC_SPECIES
Ac 227.00 Ac.upf
Pm 145.00 Pm.upf
Sn 118.71 Sn.upf
ATOMIC_POSITIONS crystal
Ac 0.094 0.094 0.094
Ac 0.906 0.906 0.906
Pm 0.000 0.000 0.000
Sn 0.500 0.500 0.500
CELL_PARAMETERS angstrom
1.867 1.078 12.634
-1.867 1.078 12.634
0.000 -2.156 12.634
! - calculated volume (Å³/cell) = 153
! - N(E_F) (states/eV/cell) = 6.45
! - size of the total moment (μB/cell) = 0.4

---

two | ! Ac2PmSn (PBE-GGA, optimized geometry); values from VASP
&SYSTEM
  ibrav = 0, nat = 4, ntyp = 3
/
ATOMIC_SPECIES
Ac 227.00 Ac.upf
Pm 145.00 Pm.upf
Sn 118.71 Sn.upf
ATOMIC_POSITIONS crystal
Ac 0.000 0.000 0.229
Ac 0.000 0.000 0.771
Pm 0.500 0.500 0.500
Sn 0.500 0.500 0.000
CELL_PARAMETERS angstrom
4.456 0.000 0.000
0.000 4.456 0.000
0.000 0.000 7.373
! - calculated volume (Å³/cell) = 146
! - N(E_F) (states/eV/cell) = 4.61
! - size of the total moment (μB/cell) = 0.0

---

We find two to be the most stable, with the next structure 34.2 kJ/mol of atoms higher.